# BaScMo, relaxed, DFT PBE
data_BaScMo
_cell_length_a 6.962
_cell_length_b 6.962
_cell_length_c 3.593
_cell_angle_alpha 75.05
_cell_angle_beta 75.04
_cell_angle_gamma 29.91
_symmetry_space_group_name_H-M 'P 1'
_symmetry_Int_Tables_number 1
loop_
_symmetry_equiv_pos_as_xyz
'x,y,z'
loop_
_atom_site_label
_atom_site_type_symbol
_atom_site_fract_x
_atom_site_fract_y
_atom_site_fract_z
Sc1 Sc 0.714 0.714 0.286
Mo1 Mo 0.300 0.300 0.700
Ba1 Ba 0.986 0.986 0.014
# formation energy = 0.70 eV per atom
# space-group type = I4mm
# size of the total moment = 0.0 Bohr magnetons per cell
# distance to the lowest polymorph of the same formula = 0.000 eV per atom

# Tc3SnN, relaxed, DFT PBE
data_Tc3SnN
_cell_length_a 4.198
_cell_length_b 5.535
_cell_length_c 7.239
_cell_angle_alpha 90.00
_cell_angle_beta 64.79
_cell_angle_gamma 90.00
_symmetry_space_group_name_H-M 'P 1'
_symmetry_Int_Tables_number 1
loop_
_symmetry_equiv_pos_as_xyz
'x,y,z'
loop_
_atom_site_label
_atom_site_type_symbol
_atom_site_fract_x
_atom_site_fract_y
_atom_site_fract_z
N1 N 0.461 0.750 0.293
Tc1 Tc 0.840 0.998 0.191
Tc2 Tc 0.840 0.502 0.191
Tc3 Tc 0.160 0.002 0.809
Sn1 Sn 0.148 0.250 0.431
Sn2 Sn 0.852 0.750 0.569
Tc4 Tc 0.471 0.750 0.017
N2 N 0.539 0.250 0.707
Tc5 Tc 0.160 0.498 0.809
Tc6 Tc 0.529 0.250 0.983
# uncorrected formation energy = 0.22 eV per atom
# space-group type = P2_1/m
# size of the total moment = 0.0 Bohr magnetons per cell
# distance to the lowest polymorph of the same formula = 0.177 eV per atom

Number 2 is which compound? Tc3SnN